MgGaTc2O | PBE | optimized geometry

abc: 4.6958 4.6958 4.9015
angles: 90.00 90.00 90.00
Closest atoms and distances in Å follow each position.
Space group P4/mmm (No. 123)
Symmetry-distinct sites (fractional):
Mg1 0.0000 0.0000 0.0000  2 Ga 2.45
Ga1 0.0000 0.0000 0.5000  4 Tc 2.35, 2 Mg 2.45
Tc1 0.0000 0.5000 0.5000  2 Ga 2.35
O1 0.5000 0.5000 0.0000  4 Mg 3.32, 8 Tc 3.39

Output
The calculation puts the energy relative to the elements, uncorrected at 1561 meV per atom. As for the total energy: -4.50 eV/atom. Its density of states at the Fermi level is 7.23 states/eV per cell.



K3B2As4 | PBE | optimized geometry

abc: 14.3426 9.7567 6.5332
angles: 90.00 103.18 90.00
Closest atoms and distances in Å follow each position.
Space group C2/c (No. 15)
Symmetry-distinct sites (fractional):
K1 0.0000 0.0759 0.2500  6 As 3.29-3.49, 2 K 3.59
K2 0.1214 0.3796 0.5526  2 B 3.17-3.22, 6 As 3.18-3.44
B1 0.2226 0.1010 0.0187  4 As 2.12-2.23
As1 0.1552 0.2885 0.0653  2 B 2.12-2.23
As2 0.1951 0.0773 0.6817  2 B 2.12-2.16

Output
Its formation energy is -0.067 eV per atom. As for the total energy: -3.98 eV/atom. Its density of states at the Fermi level is 15.52 states/eV per cell.